# AlHg2Pt2

Crystalline AlHg2Pt2 at its relaxed geometry (PBE, Alexandria).

abc: 3.8291 3.8291 7.5730
angles: 75.36 75.36 90.00
Last column: nearest neighbours and their distance in Å.
Atoms (fractional coordinates):
Hg (0.3986, 0.3986, 0.2029)  4 Pt 2.84, 1 Hg 2.87, 4 Al 3.06
Hg (0.6014, 0.6014, 0.7971)  4 Pt 2.84, 1 Hg 2.87, 4 Al 3.06
Pt (0.7500, 0.2500, 0.5000)  4 Pt 2.71, 4 Hg 2.84
Pt (0.2500, 0.7500, 0.5000)  4 Pt 2.71, 4 Hg 2.84
Al (0.0000, 0.0000, 0.0000)  8 Hg 3.06

## Properties
Relative energy among the computed polymorphs   2.39 eV/f.u.
Energy relative to the elements   0.2345 eV/atom
Symmetry   I4/mmm
Magnetic moment   0.0 μB/cell

***

# LuThGaHg

Crystalline LuThGaHg at its relaxed geometry (PBE, Alexandria).

abc: 5.2190 5.2190 5.2190
angles: 60.00 60.00 60.00
Last column: nearest neighbours and their distance in Å.
Atoms (fractional coordinates):
Ga (0.2500, 0.2500, 0.2500)  4 Th 3.20, 4 Lu 3.20
Lu (0.0000, 0.0000, 0.0000)  4 Hg 3.20, 4 Ga 3.20
Hg (0.7500, 0.7500, 0.7500)  4 Th 3.20, 4 Lu 3.20
Th (0.5000, 0.5000, 0.5000)  4 Ga 3.20, 4 Hg 3.20

## Properties
Energy relative to the elements   -0.3716 eV/atom
Symmetry   F-43m
Magnetic moment   0.0 μB/cell

***

# InAuBr2

Crystalline InAuBr2 at its relaxed geometry (PBE, Alexandria).

abc: 4.0528 4.0528 8.9252
angles: 90.00 90.00 121.39
Last column: nearest neighbours and their distance in Å.
Atoms (fractional coordinates):
Au (0.5000, 0.5000, 0.7340)  2 Br 2.66, 2 In 2.70
Br (0.0000, 0.0000, 0.9319)  2 Au 2.66
Br (0.5000, 0.5000, 0.3046)  2 In 2.82
In (0.0000, 0.0000, 0.5295)  2 Au 2.70, 2 Br 2.82

## Properties
Relative energy among the computed polymorphs   0.69 eV/f.u.
E_form (uncorrected)   -23 kJ/mol of atoms
Symmetry   Cmm2
Magnetic moment   0.0 μB/cell

***

Q: Which formula does entry 3 have?
A: InAuBr2

***

Q: magnetic moment of number 1 (AlHg2Pt2)?
A: 0.0 μB/cell